No. 1
Density functional theory data (meta-GGA SCAN) for a PBEsol-optimized structure of YTaP.

Results
- V: 58 Å³ per cell
- Crystal system: tetragonal
- E_form: -584 meV per atom
- Density of states at the Fermi level: 1.6 states/eV per cell

Cell lengths 5.7347, 5.7347, 5.7347 Å; angles 146.20, 146.20, 48.54 degrees
Element x y z (fractional)
Y  0.0000  0.0000  0.0000
Ta  0.7033  0.7033  0.0000
P  0.2957  0.2957  0.0000

No. 2
Density functional theory data (meta-GGA SCAN) for a PBEsol-optimized structure of Y2TaP.

Results
- V: 79 Å³ per cell
- Crystal system: cubic
- E_form: 236 meV per atom
- Density of states at the Fermi level: 2.6 states/eV per cell

Cell lengths 4.8251, 4.8251, 4.8251 Å; angles 60.00, 60.00, 60.00 degrees
Element x y z (fractional)
Y  0.0000  0.0000  0.0000
Y  0.2500  0.2500  0.2500
Ta  0.7500  0.7500  0.7500
P  0.5000  0.5000  0.5000

No. 3
Density functional theory data (meta-GGA SCAN) for a PBEsol-optimized structure of TaZnP.

Results
- V: 49 Å³ per cell
- Crystal system: hexagonal
- E_form: 97 meV per atom
- Density of states at the Fermi level: 2.2 states/eV per cell

Cell lengths 4.1375, 4.1375, 3.3116 Å; angles 90.00, 90.00, 120.00 degrees
Element x y z (fractional)
Ta  0.0000  0.0000  0.0000
Zn  0.3333  0.6667  0.5000
P  0.6667  0.3333  0.0000